# GGA-PBE WCSeN2, optimized geometry
data_WCSeN2
_chemical_formula_sum 'W1 C1 Se1 N2'
_symmetry_space_group_name_H-M 'P 4/m m m'
_symmetry_Int_Tables_number 123
_symmetry_space_group_name_Hall '-P 4 2'
_cell_length_a 3.8377
_cell_length_b 3.8377
_cell_length_c 5.3458
_cell_angle_alpha 90.00
_cell_angle_beta 90.00
_cell_angle_gamma 90.00
loop_
_atom_site_label
_atom_site_type_symbol
_atom_site_fract_x
_atom_site_fract_y
_atom_site_fract_z
W1 W 0.0000 0.0000 0.0000
C1 C 0.5000 0.5000 0.5000
Se1 Se 0.0000 0.0000 0.5000
N1 N 0.0000 0.5000 0.0000
# Formation energy (no corrections) = 1554.5 meV per atom
# Raw total energy = -34.5 eV/f.u.
# Fermi-level density of states = 0.597 states/eV/atom
# Energy above the lowest structure with this stoichiometry = 0 meV/atom
# Crystal system = tetragonal

# GGA-PBE ThPa2Mn, optimized geometry
data_ThPa2Mn
_chemical_formula_sum 'Th3 Pa6 Mn3'
_symmetry_space_group_name_H-M 'R -3 m'
_symmetry_Int_Tables_number 166
_symmetry_space_group_name_Hall '-R 3 2"'
_cell_length_a 3.5830
_cell_length_b 3.5830
_cell_length_c 26.1229
_cell_angle_alpha 90.00
_cell_angle_beta 90.00
_cell_angle_gamma 120.00
loop_
_atom_site_label
_atom_site_type_symbol
_atom_site_fract_x
_atom_site_fract_y
_atom_site_fract_z
Th1 Th 0.0000 0.0000 0.0000
Pa1 Pa 0.0000 0.0000 0.2268
Mn1 Mn 0.0000 0.0000 0.5000
# Raw total energy = -35.0 eV/f.u.
# Fermi-level density of states = 1.947 states/eV/atom
# Formation enthalpy at 0 K = 0.551 eV/f.u.
# Energy above the lowest structure with this stoichiometry = 87 meV/atom
# Crystal system = trigonal

# GGA-PBE NdDyZn, optimized geometry
data_NdDyZn
_chemical_formula_sum 'Nd2 Dy2 Zn2'
_symmetry_space_group_name_H-M 'I -4 m 2'
_symmetry_Int_Tables_number 119
_symmetry_space_group_name_Hall 'I -4 -2'
_cell_length_a 5.0158
_cell_length_b 5.0158
_cell_length_c 7.1185
_cell_angle_alpha 90.00
_cell_angle_beta 90.00
_cell_angle_gamma 90.00
loop_
_atom_site_label
_atom_site_type_symbol
_atom_site_fract_x
_atom_site_fract_y
_atom_site_fract_z
Nd1 Nd 0.0000 0.0000 0.0000
Dy1 Dy 0.0000 0.0000 0.5000
Zn1 Zn 0.0000 0.5000 0.7500
# Raw total energy = -10.6 eV/f.u.
# Fermi-level density of states = 1.500 states/eV/atom
# Formation enthalpy at 0 K = 0.090 eV/f.u.
# Energy above the lowest structure with this stoichiometry = 232 meV/atom
# Crystal system = tetragonal

# GGA-PBE SrMn2WSe, optimized geometry
data_SrMn2WSe
_chemical_formula_sum 'Sr1 Mn2 W1 Se1'
_symmetry_space_group_name_H-M 'P 4/m m m'
_symmetry_Int_Tables_number 123
_symmetry_space_group_name_Hall '-P 4 2'
_cell_length_a 4.8299
_cell_length_b 4.8299
_cell_length_c 5.0531
_cell_angle_alpha 90.00
_cell_angle_beta 90.00
_cell_angle_gamma 90.00
loop_
_atom_site_label
_atom_site_type_symbol
_atom_site_fract_x
_atom_site_fract_y
_atom_site_fract_z
Sr1 Sr 0.0000 0.0000 0.0000
Mn1 Mn 0.0000 0.5000 0.5000
W1 W 0.5000 0.5000 0.5000
Se1 Se 0.5000 0.5000 0.0000
# Formation energy (no corrections) = 467.3 meV per atom
# Raw total energy = -34.1 eV/f.u.
# Fermi-level density of states = 1.021 states/eV/atom
# Energy above the lowest structure with this stoichiometry = 0 meV/atom
# Crystal system = tetragonal

# GGA-PBE LiHo3N, optimized geometry
data_LiHo3N
_chemical_formula_sum 'Li1 Ho3 N1'
_symmetry_space_group_name_H-M 'P m -3 m'
_symmetry_Int_Tables_number 221
_symmetry_space_group_name_Hall '-P 4 2 3'
_cell_length_a 4.8229
_cell_length_b 4.8229
_cell_length_c 4.8229
_cell_angle_alpha 90.00
_cell_angle_beta 90.00
_cell_angle_gamma 90.00
loop_
_atom_site_label
_atom_site_type_symbol
_atom_site_fract_x
_atom_site_fract_y
_atom_site_fract_z
Li1 Li 0.0000 0.0000 0.0000
Ho1 Ho 0.0000 0.5000 0.5000
N1 N 0.5000 0.5000 0.5000
# Formation energy (no corrections) = -559.1 meV per atom
# Raw total energy = -26.8 eV/f.u.
# Fermi-level density of states = 1.370 states/eV/atom
# Crystal system = cubic

# GGA-PBE K5Au, optimized geometry
data_K5Au
_chemical_formula_sum 'K20 Au4'
_symmetry_space_group_name_H-M 'I 4/m c m'
_symmetry_Int_Tables_number 140
_symmetry_space_group_name_Hall '-I 4 2c'
_cell_length_a 8.4945
_cell_length_b 8.4945
_cell_length_c 18.5546
_cell_angle_alpha 90.00
_cell_angle_beta 90.00
_cell_angle_gamma 90.00
loop_
_atom_site_label
_atom_site_type_symbol
_atom_site_fract_x
_atom_site_fract_y
_atom_site_fract_z
K1 K 0.0000 0.0000 0.0000
K2 K 0.1787 0.3213 0.1574
Au1 Au 0.0000 0.0000 0.2500
# Raw total energy = -9.2 eV/f.u.
# Fermi-level density of states = 0.547 states/eV/atom
# Formation enthalpy at 0 K = -0.463 eV/f.u.
# Energy above the lowest structure with this stoichiometry = 28 meV/atom
# Crystal system = tetragonal

Number 2 is which compound?
ThPa2Mn

Among the records above, which one has the lowest Fermi-level density of states?
K5Au

Which of these has the lowest raw total energy?
ThPa2Mn